Material: LaNd8Sc2
Method: DFT, PBE
State: relaxed

Unit cell a=5.5333 b=8.5086 c=9.3882 alpha=116.94 beta=107.14 gamma=90.00
Last column: nearest neighbours and their distance in Å.
Positions (direct):
1 Nd 0.3539 0.1513 0.7079  3 Sc 3.37-3.50, 1 La 3.42, 6 Nd 3.45-3.76
2 Nd 0.1613 0.1613 0.3226  8 Nd 3.50-3.76, 2 Sc 3.52, 2 La 3.76
3 Nd 0.6460 0.4435 0.2920  3 Sc 3.37-3.50, 1 La 3.42, 6 Nd 3.45-3.76
4 La 0.5000 0.0000 0.0000  12 Nd 3.42-3.77
5 Sc 0.2006 0.7005 0.4012  10 Nd 3.37-3.59
6 Nd 0.6461 0.8487 0.2921  3 Sc 3.37-3.50, 1 La 3.42, 6 Nd 3.45-3.76
7 Nd 0.0000 0.3010 0.9999  7 Nd 3.39-3.61, 2 Sc 3.59, 2 La 3.77
8 Nd 0.0000 0.6990 0.0001  7 Nd 3.39-3.61, 2 Sc 3.59, 2 La 3.77
9 Nd 0.8387 0.8387 0.6774  8 Nd 3.50-3.76, 2 Sc 3.52, 2 La 3.76
10 Nd 0.3540 0.5565 0.7080  3 Sc 3.37-3.50, 1 La 3.42, 6 Nd 3.45-3.76
11 Sc 0.7994 0.2995 0.5988  10 Nd 3.37-3.59

Summary:
density of states at the Fermi level = 1.590 states/eV per atom
M_tot = 0.00 μB/cell
calculated volume = 372 Å³ per cell
formation energy = 0.1195 eV per atom
symmetry = Immm, No. 71
distance to the lowest polymorph of the same formula = 0.00 eV/f.u.
crystal system = orthorhombic

***

Material: TlCl3O
Method: DFT, PBE
State: relaxed

Unit cell a=4.7121 b=4.7121 c=4.7121 alpha=90.00 beta=90.00 gamma=90.00
Last column: nearest neighbours and their distance in Å.
Positions (direct):
1 Cl 0.0000 0.5000 0.0000  2 O 2.36
2 Cl 0.0000 0.0000 0.5000  2 O 2.36
3 Cl 0.5000 0.0000 0.0000  2 O 2.36
4 O 0.0000 0.0000 0.0000  6 Cl 2.36
5 Tl 0.5000 0.5000 0.5000  12 Cl 3.33

Summary:
density of states at the Fermi level = 0.780 states/eV per atom
M_tot = 0.00 μB/cell
calculated volume = 105 Å³ per cell
raw formation energy = 0.0952 eV/atom
symmetry = Pm-3m, No. 221
distance to the lowest polymorph of the same formula = 2.84 eV/f.u.
crystal system = cubic

***

Material: Cs2RbCu2Cl7
Method: DFT, PBE
State: relaxed

Unit cell a=5.0338 b=5.0338 c=13.6071 alpha=79.43 beta=79.43 gamma=89.99
Last column: nearest neighbours and their distance in Å.
Positions (direct):
1 Cu 0.5903 0.5903 0.8176  6 Cl 2.38-2.52
2 Cs 0.1794 0.1794 0.6387  9 Cl 3.49-3.61
3 Cl 0.4123 0.9123 0.1768  2 Cu 2.52
4 Cl 0.5000 0.5000 0.0000  2 Cu 2.40
5 Cl 0.0877 0.5877 0.8232  2 Cu 2.52
6 Cl 0.9123 0.4123 0.1768  2 Cu 2.52
7 Cu 0.4097 0.4097 0.1824  6 Cl 2.38-2.52
8 Cl 0.6804 0.6804 0.6363  1 Cu 2.38
9 Cl 0.5877 0.0877 0.8232  2 Cu 2.52
10 Cl 0.3196 0.3196 0.3637  1 Cu 2.38
11 Cs 0.8206 0.8206 0.3613  9 Cl 3.49-3.61
12 Rb 0.0000 0.0000 0.0000  12 Cl 3.42-3.56

Summary:
density of states at the Fermi level = 0.278 states/eV per atom
M_tot = 0.00 μB/cell
calculated volume = 333 Å³ per cell
raw formation energy = -1.2441 eV/atom
symmetry = C2/m, No. 12
crystal system = monoclinic